Entry 1:
Mn2SnN: relaxed, PBE-GGA.

Cell lengths 6.2270, 6.2270, 6.2270 Å; angles 90.00, 90.00, 90.00 degrees
Closest atoms and distances in Å follow each position.
Space group Fm-3m (No. 225)
Inequivalent atoms, fractional coordinates:
Mn 0.2500 0.2500 0.2500  4 Sn 2.70, 4 N 2.70
Sn 0.0000 0.0000 0.0000  8 Mn 2.70
N 0.0000 0.0000 0.5000  8 Mn 2.70

Results
For the calculated total energy, the calculation gives -106.9 eV for the cell shown. The total magnetization is 1.750 μB/atom. The calculation puts the formation energy from raw total energies at 3.95 eV/f.u.



Entry 2:
Mn4SnN4: relaxed, PBE-GGA.

Cell lengths 5.5325, 5.5429, 7.2638 Å; angles 88.54, 79.82, 67.72 degrees
Closest atoms and distances in Å follow each position.
Space group P-1 (No. 2)
Inequivalent atoms, fractional coordinates:
Mn 0.1326 0.0895 0.3506  5 N 1.92-2.05
Mn 0.2373 0.0365 0.9934  4 N 1.95-2.01
Mn 0.2656 0.5099 0.2949  3 N 1.94-2.06
Mn 0.3471 0.9204 0.6460  4 N 1.86-2.03
Sn 0.2357 0.4699 0.7831  1 N 2.26
N 0.0336 0.8766 0.1712  4 Mn 1.98-2.18
N 0.2061 0.7743 0.4853  4 Mn 1.86-1.94
N 0.2986 0.2530 0.5077  4 Mn 1.97-2.06
N 0.4212 0.1488 0.1691  5 Mn 1.95-2.02

Results
For the calculated total energy, the calculation gives -148.0 eV for the cell shown. The total magnetization is 0.622 μB/atom. The calculation puts the formation energy from raw total energies at -0.02 eV/f.u.



Entry 3:
Mn3SnN: relaxed, PBE-GGA.

Cell lengths 3.8903, 3.8903, 3.8903 Å; angles 90.00, 90.00, 90.00 degrees
Closest atoms and distances in Å follow each position.
Space group Pm-3m (No. 221)
Inequivalent atoms, fractional coordinates:
Mn 0.0000 0.0000 0.5000  2 N 1.95
Sn 0.5000 0.5000 0.5000  12 Mn 2.75
N 0.0000 0.0000 0.0000  6 Mn 1.95

Results
For the calculated total energy, the calculation gives -40.5 eV for the cell shown. The total magnetization is 0.658 μB/atom. The calculation puts the formation energy from raw total energies at -0.65 eV/f.u.



Entry 4:
MnSnN2: relaxed, PBE-GGA.

Cell lengths 3.2889, 3.2889, 18.0590 Å; angles 90.00, 90.00, 120.00 degrees
Closest atoms and distances in Å follow each position.
Space group R-3m (No. 166, hexagonal axes)
Inequivalent atoms, fractional coordinates:
Mn 0.0000 0.0000 0.0000  2 N 1.88
Sn 0.0000 0.0000 0.5000  6 N 2.21
N 0.0000 0.0000 0.1039  1 Mn 1.88

Results
For the calculated total energy, the calculation gives -85.0 eV for the cell shown. The total magnetization is 0.937 μB/atom. The calculation puts the formation energy from raw total energies at 1.49 eV/f.u.



Entry 5:
Mn2SnN: relaxed, PBE-GGA.

Cell lengths 3.0472, 3.0472, 18.4585 Å; angles 90.00, 90.00, 120.00 degrees
Closest atoms and distances in Å follow each position.
Space group R-3m (No. 166, hexagonal axes)
Inequivalent atoms, fractional coordinates:
Mn 0.0000 0.0000 0.2140  3 N 1.96
Sn 0.0000 0.0000 0.0000  6 Mn 2.82, 6 Sn 3.05
N 0.0000 0.0000 0.5000  6 Mn 1.96

Results
For the calculated total energy, the calculation gives -92.2 eV for the cell shown. The total magnetization is 0.000 μB/atom. The calculation puts the formation energy from raw total energies at -0.05 eV/f.u.



Entry 6:
MnSnN2: relaxed, PBE-GGA.

Cell lengths 5.2426, 5.2426, 8.1836 Å; angles 90.00, 90.00, 90.00 degrees
Closest atoms and distances in Å follow each position.
Space group I-42d (No. 122)
Inequivalent atoms, fractional coordinates:
Mn 0.0000 0.0000 0.0000  4 N 1.79
Sn 0.0000 0.0000 0.5000  4 N 2.58
N 0.1246 0.2500 0.1250  2 Mn 1.79

Results
For the calculated total energy, the calculation gives -115.8 eV for the cell shown. The total magnetization is 0.000 μB/atom. The calculation puts the formation energy from raw total energies at 0.88 eV/f.u.